# 1
# RbTe2PCl, optimized geometry, DFT PBEsol
data_RbTe2PCl
_cell_length_a 6.4673
_cell_length_b 6.8983
_cell_length_c 6.8983
_cell_angle_alpha 90.00
_cell_angle_beta 90.00
_cell_angle_gamma 90.00
_symmetry_space_group_name_H-M 'P 1'
_symmetry_Int_Tables_number 1
loop_
_symmetry_equiv_pos_as_xyz
'x,y,z'
loop_
_atom_site_label
_atom_site_type_symbol
_atom_site_fract_x
_atom_site_fract_y
_atom_site_fract_z
P1 P 0.5000 0.0000 0.0000
Te1 Te 0.0000 0.0000 0.5000
Te2 Te 0.0000 0.5000 0.0000
Rb1 Rb 0.0000 0.0000 0.0000
Cl1 Cl 0.5000 0.5000 0.5000
# - symmetry = No. 123
# - size of the total moment (μB per formula unit) = 7.0
# - crystal system = tetragonal
# - E (eV per cell) = -9.1


# 2
# MgCoBiTe2, optimized geometry, DFT PBEsol
data_MgCoBiTe2
_cell_length_a 5.3119
_cell_length_b 5.3119
_cell_length_c 5.3404
_cell_angle_alpha 90.00
_cell_angle_beta 90.00
_cell_angle_gamma 90.00
_symmetry_space_group_name_H-M 'P 1'
_symmetry_Int_Tables_number 1
loop_
_symmetry_equiv_pos_as_xyz
'x,y,z'
loop_
_atom_site_label
_atom_site_type_symbol
_atom_site_fract_x
_atom_site_fract_y
_atom_site_fract_z
Mg1 Mg 0.0000 0.0000 0.0000
Te1 Te 0.0000 0.5000 0.0000
Te2 Te 0.5000 0.0000 0.0000
Co1 Co 0.5000 0.5000 0.5000
Bi1 Bi 0.0000 0.0000 0.5000
# - symmetry = No. 123
# - size of the total moment (μB per formula unit) = 2.1
# - crystal system = tetragonal
# - E (eV per cell) = -15.5


# 3
# TlCd5, optimized geometry, DFT PBEsol
data_TlCd5
_cell_length_a 4.9467
_cell_length_b 5.6023
_cell_length_c 5.6023
_cell_angle_alpha 120.00
_cell_angle_beta 90.00
_cell_angle_gamma 90.00
_symmetry_space_group_name_H-M 'P 1'
_symmetry_Int_Tables_number 1
loop_
_symmetry_equiv_pos_as_xyz
'x,y,z'
loop_
_atom_site_label
_atom_site_type_symbol
_atom_site_fract_x
_atom_site_fract_y
_atom_site_fract_z
Cd1 Cd 0.0000 0.3603 0.3603
Cd2 Cd 0.0000 0.6397 0.0000
Cd3 Cd 0.0000 0.0000 0.6397
Cd4 Cd 0.5000 0.3333 0.6667
Cd5 Cd 0.5000 0.6667 0.3333
Tl1 Tl 0.5000 0.0000 0.0000
# - symmetry = No. 189
# - size of the total moment (μB per formula unit) = 0.0
# - crystal system = hexagonal
# - offset from the most stable computed form (eV per atom) = 0.027
# - energy of formation (eV per atom) = 0.054


# 4
# Zn4AsBr, optimized geometry, DFT PBEsol
data_Zn4AsBr
_cell_length_a 5.2846
_cell_length_b 5.2846
_cell_length_c 5.2846
_cell_angle_alpha 60.00
_cell_angle_beta 60.00
_cell_angle_gamma 60.00
_symmetry_space_group_name_H-M 'P 1'
_symmetry_Int_Tables_number 1
loop_
_symmetry_equiv_pos_as_xyz
'x,y,z'
loop_
_atom_site_label
_atom_site_type_symbol
_atom_site_fract_x
_atom_site_fract_y
_atom_site_fract_z
As1 As 0.7500 0.7500 0.7500
Br1 Br 0.0000 0.0000 0.0000
Zn1 Zn 0.3757 0.3757 0.3757
Zn2 Zn 0.3757 0.3757 0.8728
Zn3 Zn 0.8728 0.3757 0.3757
Zn4 Zn 0.3757 0.8728 0.3757
# - symmetry = No. 216
# - size of the total moment (μB per formula unit) = 0.0
# - crystal system = cubic
# - E (eV per cell) = -12.0


Which value of size of the total moment does entry 2 give? 2.1 μB per formula unit


What is the size of the total moment in the second record? 2.1 μB per formula unit


Number 4 is which compound? Zn4AsBr